1.
Crystalline LaY2AgO at its relaxed geometry, computed with GGA-PBE.

The crystal system is tetragonal. The calculation puts the total energy at -6.328 eV/atom.

It has space group P4/mmm (No. 123), with a = 4.7793 Å, b = 4.7793 Å, c = 5.0568 Å, α = 90.00°, β = 90.00° and γ = 90.00°. Symmetry generates all atoms from La at (0.0000, 0.0000, 0.0000), Y at (0.0000, 0.5000, 0.5000), Ag at (0.5000, 0.5000, 0.0000) and O at (0.0000, 0.0000, 0.5000).



2.
Crystalline La2YAgO at its relaxed geometry, computed with GGA-PBE.

The crystal system is tetragonal. The calculation puts the total energy at -6.023 eV/atom.

It has space group P4/mmm (No. 123), with a = 5.1275 Å, b = 5.1275 Å, c = 4.6659 Å, α = 90.00°, β = 90.00° and γ = 90.00°. Symmetry generates all atoms from La at (0.0000, 0.5000, 0.0000), Y at (0.0000, 0.0000, 0.5000), Ag at (0.5000, 0.5000, 0.5000) and O at (0.0000, 0.0000, 0.0000).



3.
Crystalline La2ZrAgO at its relaxed geometry, computed with GGA-PBE.

The crystal system is tetragonal. The calculation puts the total energy at -6.344 eV/atom.

It has space group P4/mmm (No. 123), with a = 5.2155 Å, b = 5.2155 Å, c = 4.3176 Å, α = 90.00°, β = 90.00° and γ = 90.00°. Symmetry generates all atoms from La at (0.0000, 0.5000, 0.0000), Zr at (0.0000, 0.0000, 0.5000), Ag at (0.5000, 0.5000, 0.5000) and O at (0.0000, 0.0000, 0.0000).



4.
Crystalline La7Ag2Os2 at its relaxed geometry, computed with GGA-PBE.

The crystal system is orthorhombic. The calculation puts the total energy at -5.823 eV/atom. As for the energy of formation from the pure elements: -0.127 eV/atom.

It has space group Cmmm (No. 65), with a = 8.3262 Å, b = 11.5040 Å, c = 7.2667 Å, α = 90.00°, β = 90.00° and γ = 90.00°. Symmetry generates all atoms from La at (0.0000, 0.0000, 0.0000), La at (0.0000, 0.5000, 0.2454), La at (0.2500, 0.2500, 0.2539), Ag at (0.1697, 0.0000, 0.5000) and Os at (0.0000, 0.2938, 0.0000).